# 1
Compound: NiWN2O
Source: the Alexandria database
Functional: SCAN
Structure: PBEsol geometry

Summary:
Energy ... -22.05 eV/atom
SG ... P4/mmm
Raw formation energy ... 0.08 eV/atom

```
5
Lattice="3.931 0.000 0.000 0.000 3.931 0.000 0.000 0.000 3.782" Properties=species:S:1:pos:R:3 pbc="T T T"
Ni 0.000 0.000 0.000
W 1.966 1.966 1.891
N 0.000 1.966 1.891
N 1.966 0.000 1.891
O 1.966 1.966 0.000
```

---

# 2
Compound: NiOsS2N
Source: the Alexandria database
Functional: SCAN
Structure: PBEsol geometry

Summary:
Energy ... -22.58 eV/atom
SG ... P4/mmm
Raw formation energy ... 0.74 eV/atom

```
5
Lattice="4.695 0.000 0.000 0.000 4.695 0.000 0.000 0.000 3.617" Properties=species:S:1:pos:R:3 pbc="T T T"
Ni 0.000 0.000 0.000
Os 2.348 2.348 1.809
S 0.000 2.348 1.809
S 2.348 0.000 1.809
N 2.348 2.348 0.000
```

---

# 3
Compound: NiOsSN2
Source: the Alexandria database
Functional: SCAN
Structure: PBEsol geometry

Summary:
Energy ... -22.51 eV/atom
SG ... P4/mmm
Raw formation energy ... 0.75 eV/atom

```
5
Lattice="3.688 0.000 0.000 0.000 3.688 0.000 0.000 0.000 5.118" Properties=species:S:1:pos:R:3 pbc="T T T"
Ni 0.000 0.000 0.000
Os 1.844 1.844 2.559
S 1.844 1.844 0.000
N 0.000 1.844 2.559
N 1.844 0.000 2.559
```

---

# 4
Compound: NiTeOsN2
Source: the Alexandria database
Functional: SCAN
Structure: PBEsol geometry

Summary:
Energy ... -27.12 eV/atom
SG ... P4/mmm
Raw formation energy ... 1.65 eV/atom

```
5
Lattice="3.675 0.000 0.000 0.000 3.675 0.000 0.000 0.000 5.240" Properties=species:S:1:pos:R:3 pbc="T T T"
Ni 0.000 0.000 0.000
Te 0.000 0.000 2.620
Os 1.838 1.838 2.620
N 0.000 1.838 0.000
N 1.838 0.000 0.000
```

---

# 5
Compound: NiPRuN2
Source: the Alexandria database
Functional: SCAN
Structure: PBEsol geometry

Summary:
Energy ... -14.72 eV/atom
SG ... P4/mmm
Raw formation energy ... 1.27 eV/atom

```
5
Lattice="3.446 0.000 0.000 0.000 3.446 0.000 0.000 0.000 4.389" Properties=species:S:1:pos:R:3 pbc="T T T"
Ni 0.000 0.000 0.000
P 0.000 0.000 2.195
Ru 1.723 1.723 0.000
N 0.000 1.723 2.195
N 1.723 0.000 2.195
```

---

# 6
Compound: NiPS2N
Source: the Alexandria database
Functional: SCAN
Structure: PBEsol geometry

Summary:
Energy ... -10.14 eV/atom
SG ... P4/mmm
Raw formation energy ... 0.88 eV/atom

```
5
Lattice="4.547 0.000 0.000 0.000 4.547 0.000 0.000 0.000 3.369" Properties=species:S:1:pos:R:3 pbc="T T T"
Ni 0.000 0.000 0.000
P 2.273 2.273 1.684
S 0.000 2.273 0.000
S 2.273 0.000 0.000
N 0.000 0.000 1.684
```

---

# 7
Compound: NiP2SN
Source: the Alexandria database
Functional: SCAN
Structure: PBEsol geometry

Summary:
Energy ... -9.58 eV/atom
SG ... P4/mmm
Raw formation energy ... 1.60 eV/atom

```
5
Lattice="4.280 0.000 0.000 0.000 4.280 0.000 0.000 0.000 4.294" Properties=species:S:1:pos:R:3 pbc="T T T"
Ni 0.000 0.000 0.000
P 0.000 2.140 0.000
P 2.140 0.000 0.000
S 0.000 0.000 2.147
N 2.140 2.140 2.147
```

---

# 8
Compound: NiPb2N2
Source: the Alexandria database
Functional: SCAN
Structure: PBEsol geometry

Summary:
Energy ... -36.60 eV/atom
SG ... I4/mmm
Raw formation energy ... 0.67 eV/atom

```
5
Lattice="-2.478 2.478 3.463 2.478 -2.478 3.463 2.478 2.478 -3.463" Properties=species:S:1:pos:R:3 pbc="T T T"
Ni 0.000 0.000 0.000
Pb 2.478 0.000 1.731
Pb 0.000 2.478 1.731
N 0.000 0.000 2.882
N 0.000 0.000 4.044
```

---

# 9
Compound: NiTe2PbN
Source: the Alexandria database
Functional: SCAN
Structure: PBEsol geometry

Summary:
Energy ... -34.82 eV/atom
SG ... P4/mmm
Raw formation energy ... 0.33 eV/atom

```
5
Lattice="5.564 0.000 0.000 0.000 5.564 0.000 0.000 0.000 3.444" Properties=species:S:1:pos:R:3 pbc="T T T"
Ni 0.000 0.000 0.000
Te 0.000 2.782 0.000
Te 2.782 0.000 0.000
Pb 2.782 2.782 1.722
N 0.000 0.000 1.722
```

---

# 10
Compound: NiPdS2N
Source: the Alexandria database
Functional: SCAN
Structure: PBEsol geometry

Summary:
Energy ... -14.41 eV/atom
SG ... P4/mmm
Raw formation energy ... 1.09 eV/atom

```
5
Lattice="4.783 0.000 0.000 0.000 4.783 0.000 0.000 0.000 3.561" Properties=species:S:1:pos:R:3 pbc="T T T"
Ni 0.000 0.000 0.000
Pd 2.392 2.392 1.781
S 0.000 2.392 1.781
S 2.392 0.000 1.781
N 2.392 2.392 0.000
```

---

# 11
Compound: Tc2NiPdN
Source: the Alexandria database
Functional: SCAN
Structure: PBEsol geometry

Summary:
Energy ... -23.29 eV/atom
SG ... P4/mmm
Raw formation energy ... 2.38 eV/atom

```
5
Lattice="4.329 0.000 0.000 0.000 4.329 0.000 0.000 0.000 4.437" Properties=species:S:1:pos:R:3 pbc="T T T"
Tc 0.000 2.165 0.000
Tc 2.165 0.000 0.000
Ni 0.000 0.000 0.000
Pd 0.000 0.000 2.219
N 2.165 2.165 2.219
```

---

# 12
Compound: NiPt3N
Source: the Alexandria database
Functional: SCAN
Structure: PBEsol geometry

Summary:
Energy ... -45.03 eV/atom
SG ... Pm-3m
Raw formation energy ... 2.18 eV/atom

```
5
Lattice="4.488 0.000 0.000 0.000 4.488 0.000 0.000 0.000 4.488" Properties=species:S:1:pos:R:3 pbc="T T T"
Ni 0.000 0.000 0.000
Pt 0.000 0.000 2.244
Pt 0.000 2.244 0.000
Pt 2.244 0.000 0.000
N 2.244 2.244 2.244
```

---

# 13
Compound: NiPtS2N
Source: the Alexandria database
Functional: SCAN
Structure: PBEsol geometry

Summary:
Energy ... -22.07 eV/atom
SG ... P4/mmm
Raw formation energy ... 0.92 eV/atom

```
5
Lattice="4.837 0.000 0.000 0.000 4.837 0.000 0.000 0.000 3.581" Properties=species:S:1:pos:R:3 pbc="T T T"
Ni 0.000 0.000 0.000
Pt 2.418 2.418 1.791
S 0.000 2.418 1.791
S 2.418 0.000 1.791
N 2.418 2.418 0.000
```

---

# 14
Compound: RbNi3N
Source: the Alexandria database
Functional: SCAN
Structure: PBEsol geometry

Summary:
Energy ... -15.00 eV/atom
SG ... Pm-3m
Raw formation energy ... 0.71 eV/atom

```
5
Lattice="3.982 0.000 0.000 0.000 3.982 0.000 0.000 0.000 3.982" Properties=species:S:1:pos:R:3 pbc="T T T"
Rb 0.000 0.000 0.000
Ni 0.000 1.991 1.991
Ni 1.991 0.000 1.991
Ni 1.991 1.991 0.000
N 1.991 1.991 1.991
```

---

# 15
Compound: Rb2NiN
Source: the Alexandria database
Functional: SCAN
Structure: PBEsol geometry

Summary:
Energy ... -16.77 eV/atom
SG ... I-42d
Raw formation energy ... -0.04 eV/atom

```
8
Lattice="-5.950 5.950 1.728 5.950 -5.950 1.728 5.950 5.950 -1.728" Properties=species:S:1:pos:R:3 pbc="T T T"
Rb 0.184 2.975 0.432
Rb -2.975 5.766 1.296
Rb -0.184 8.926 0.432
Rb 2.975 6.135 1.296
Ni 5.950 0.000 0.864
Ni 0.000 0.000 1.728
N 0.000 0.000 0.000
N 0.000 5.950 0.864
```

---

# 16
Compound: RbNi3N
Source: the Alexandria database
Functional: SCAN
Structure: PBEsol geometry

Summary:
Energy ... -12.37 eV/atom
SG ... Pm-3m
Raw formation energy ... 3.34 eV/atom

```
5
Lattice="4.467 0.000 0.000 0.000 4.467 0.000 0.000 0.000 4.467" Properties=species:S:1:pos:R:3 pbc="T T T"
Rb 0.000 0.000 0.000
Ni 0.000 0.000 2.234
Ni 0.000 2.234 0.000
Ni 2.234 0.000 0.000
N 2.234 2.234 2.234
```

---

# 17
Compound: RbNiN3
Source: the Alexandria database
Functional: SCAN
Structure: PBEsol geometry

Summary:
Energy ... -9.26 eV/atom
SG ... Pm-3m
Raw formation energy ... 3.70 eV/atom

```
5
Lattice="4.399 0.000 0.000 0.000 4.399 0.000 0.000 0.000 4.399" Properties=species:S:1:pos:R:3 pbc="T T T"
Rb 0.000 0.000 0.000
Ni 2.199 2.199 2.199
N 0.000 0.000 2.199
N 0.000 2.199 0.000
N 2.199 0.000 0.000
```

---

# 18
Compound: ReNi2N2
Source: the Alexandria database
Functional: SCAN
Structure: PBEsol geometry

Summary:
Energy ... -23.26 eV/atom
SG ... I4/mmm
Raw formation energy ... 1.14 eV/atom

```
5
Lattice="-1.348 1.348 6.680 1.348 -1.348 6.680 1.348 1.348 -6.680" Properties=species:S:1:pos:R:3 pbc="T T T"
Re 0.000 0.000 0.000
Ni 0.000 0.000 4.900
Ni 0.000 0.000 8.461
N 1.348 0.000 3.340
N 0.000 1.348 3.340
```

---

# 19
Compound: ReNiSN2
Source: the Alexandria database
Functional: SCAN
Structure: PBEsol geometry

Summary:
Energy ... -21.50 eV/atom
SG ... P4/mmm
Raw formation energy ... 1.60 eV/atom

```
5
Lattice="3.612 0.000 0.000 0.000 3.612 0.000 0.000 0.000 4.324" Properties=species:S:1:pos:R:3 pbc="T T T"
Re 0.000 0.000 0.000
Ni 1.806 1.806 2.162
S 1.806 1.806 0.000
N 0.000 1.806 2.162
N 1.806 0.000 2.162
```

---

# 20
Compound: ReNiSeN2
Source: the Alexandria database
Functional: SCAN
Structure: PBEsol geometry

Summary:
Energy ... -23.51 eV/atom
SG ... P4/mmm
Raw formation energy ... 1.67 eV/atom

```
5
Lattice="3.654 0.000 0.000 0.000 3.654 0.000 0.000 0.000 4.667" Properties=species:S:1:pos:R:3 pbc="T T T"
Re 0.000 0.000 0.000
Ni 1.827 1.827 2.334
Se 1.827 1.827 0.000
N 0.000 1.827 2.334
N 1.827 0.000 2.334
```

---

# 21
Compound: ReNiTeN2
Source: the Alexandria database
Functional: SCAN
Structure: PBEsol geometry

Summary:
Energy ... -26.85 eV/atom
SG ... P4/mmm
Raw formation energy ... 1.78 eV/atom

```
5
Lattice="3.737 0.000 0.000 0.000 3.737 0.000 0.000 0.000 5.089" Properties=species:S:1:pos:R:3 pbc="T T T"
Re 0.000 0.000 0.000
Ni 1.868 1.868 2.545
Te 1.868 1.868 0.000
N 0.000 1.868 2.545
N 1.868 0.000 2.545
```

---

# 22
Compound: NiRhN2
Source: the Alexandria database
Functional: SCAN
Structure: PBEsol geometry

Summary:
Energy ... -16.74 eV/atom
SG ... R-3m
Raw formation energy ... 0.39 eV/atom

```
4
Lattice="1.367 0.789 5.956 -1.367 0.789 5.956 0.000 -1.579 5.956" Properties=species:S:1:pos:R:3 pbc="T T T"
Ni 0.000 0.000 0.000
Rh 0.000 0.000 8.935
N 0.000 0.000 7.028
N 0.000 0.000 10.841
```

---

# 23
Compound: NiRhN2
Source: the Alexandria database
Functional: SCAN
Structure: PBEsol geometry

Summary:
Energy ... -16.56 eV/atom
SG ... R-3m
Raw formation energy ... 0.57 eV/atom

```
4
Lattice="1.449 0.837 5.820 -1.449 0.837 5.820 0.000 -1.674 5.820" Properties=species:S:1:pos:R:3 pbc="T T T"
Ni 0.000 0.000 0.000
Rh 0.000 0.000 8.730
N 0.000 0.000 1.761
N 0.000 0.000 15.698
```

---

# 24
Compound: Sc2NiRhN
Source: the Alexandria database
Functional: SCAN
Structure: PBEsol geometry

Summary:
Energy ... -16.70 eV/atom
SG ... P4/mmm
Raw formation energy ... 0.84 eV/atom

```
5
Lattice="4.819 0.000 0.000 0.000 4.819 0.000 0.000 0.000 4.296" Properties=species:S:1:pos:R:3 pbc="T T T"
Sc 0.000 2.410 0.000
Sc 2.410 0.000 0.000
Ni 0.000 0.000 2.148
Rh 0.000 0.000 0.000
N 2.410 2.410 2.148
```

---

# 25
Compound: NiRhSeN2
Source: the Alexandria database
Functional: SCAN
Structure: PBEsol geometry

Summary:
Energy ... -16.45 eV/atom
SG ... P4/mmm
Raw formation energy ... 1.27 eV/atom

```
5
Lattice="3.518 0.000 0.000 0.000 3.518 0.000 0.000 0.000 5.316" Properties=species:S:1:pos:R:3 pbc="T T T"
Ni 0.000 0.000 0.000
Rh 1.759 1.759 2.658
Se 0.000 0.000 2.658
N 0.000 1.759 0.000
N 1.759 0.000 0.000
```

---

# 26
Compound: NiTeRuN2
Source: the Alexandria database
Functional: SCAN
Structure: PBEsol geometry

Summary:
Energy ... -20.57 eV/atom
SG ... P4/mmm
Raw formation energy ... 0.80 eV/atom

```
5
Lattice="3.689 0.000 0.000 0.000 3.689 0.000 0.000 0.000 5.706" Properties=species:S:1:pos:R:3 pbc="T T T"
Ni 0.000 0.000 0.000
Te 1.844 1.844 0.000
Ru 1.844 1.844 2.853
N 0.000 1.844 2.853
N 1.844 0.000 2.853
```

---

# 27
Compound: NiSN2
Source: the Alexandria database
Functional: SCAN
Structure: PBEsol geometry

Summary:
Energy ... -10.44 eV/atom
SG ... R-3m
Raw formation energy ... 0.66 eV/atom

```
4
Lattice="1.453 0.839 5.371 -1.453 0.839 5.371 0.000 -1.678 5.371" Properties=species:S:1:pos:R:3 pbc="T T T"
Ni 0.000 0.000 0.000
S 0.000 0.000 8.056
N 0.000 0.000 6.335
N 0.000 0.000 9.778
```

---

# 28
Compound: NiSbSN2
Source: the Alexandria database
Functional: SCAN
Structure: PBEsol geometry

Summary:
Energy ... -15.00 eV/atom
SG ... P4/mmm
Raw formation energy ... 1.33 eV/atom

```
5
Lattice="3.915 0.000 0.000 0.000 3.915 0.000 0.000 0.000 5.161" Properties=species:S:1:pos:R:3 pbc="T T T"
Ni 0.000 0.000 0.000
Sb 1.958 1.958 2.581
S 1.958 1.958 0.000
N 0.000 1.958 2.581
N 1.958 0.000 2.581
```

---

# 29
Compound: NiSnS2N
Source: the Alexandria database
Functional: SCAN
Structure: PBEsol geometry

Summary:
Energy ... -14.99 eV/atom
SG ... P4/mmm
Raw formation energy ... 1.14 eV/atom

```
5
Lattice="4.968 0.000 0.000 0.000 4.968 0.000 0.000 0.000 3.945" Properties=species:S:1:pos:R:3 pbc="T T T"
Ni 0.000 0.000 0.000
Sn 2.484 2.484 1.973
S 0.000 2.484 1.973
S 2.484 0.000 1.973
N 2.484 2.484 0.000
```